Compound: NaLaGa2Tc
Source: the Alexandria database
Functional: PBE-GGA
Structure: optimized geometry

```
NaLaGa2Tc
1.0
5.8509 0.0000 0.0000
0.0000 4.8663 0.0000
0.0000 0.0000 5.8509
Ga La Tc Na
2 1 1 1
direct
0.0000 0.0000 0.5000 Ga
0.5000 0.0000 0.0000 Ga
0.0000 0.0000 0.0000 La
0.0000 0.5000 0.0000 Tc
0.5000 0.5000 0.5000 Na
```

ΔE_f = 0.965 eV/atom
DOS at the Fermi energy = 1.1542 states/eV per atom
Space group = P4/mmm (123)
Total magnetic moment = 0.0 μB/f.u.

***

Compound: La3NbGa
Source: the Alexandria database
Functional: PBE-GGA
Structure: optimized geometry

```
La3NbGa
1.0
-3.7592 -3.8597 -1.1833
1.7069 -0.0544 -5.2452
3.6584 -3.9406 1.2314
La Nb Ga
3 1 1
direct
0.0000 0.5000 0.0000 La
0.0000 0.0000 0.5000 La
0.5000 0.0000 0.0000 La
0.0000 0.0000 0.0000 Nb
0.5000 0.5000 0.5000 Ga
```

ΔE_f = 0.316 eV/atom
DOS at the Fermi energy = 1.1627 states/eV per atom
Space group = Pm-3m (221)
Total magnetic moment = 0.0 μB/f.u.

***

Compound: La2NbGa2
Source: the Alexandria database
Functional: PBE-GGA
Structure: optimized geometry

```
La2NbGa2
1.0
8.7732 0.0000 0.0000
0.0000 8.7732 0.0000
0.0000 0.0000 3.2586
La Nb Ga
4 2 4
direct
0.6237 0.1237 0.0000 La
0.3763 0.8763 0.0000 La
0.1237 0.3763 0.0000 La
0.8763 0.6237 0.0000 La
0.0000 0.0000 0.0000 Nb
0.5000 0.5000 0.0000 Nb
0.6741 0.8259 0.5000 Ga
0.8259 0.3259 0.5000 Ga
0.3259 0.1741 0.5000 Ga
0.1741 0.6741 0.5000 Ga
```

ΔE_f = 0.272 eV/atom
DOS at the Fermi energy = 1.7708 states/eV per atom
Space group = P4/mbm (127)
Total magnetic moment = 0.0 μB/f.u.